Below is MnSnI2O after structural relaxation, with properties calculated at the PBE with a Hubbard U level.

* space group: P4/mmm
* E_tot: -4.38 eV/atom
* total moment: 0.92 μB per atom

Cell lengths 5.9088, 5.9088, 3.7976 Å; angles 90.00, 90.00, 90.00 degrees
Closest atoms and distances in Å follow each position.
Fractional coordinates of all 5 atoms:
Mn1 0.0000 0.0000 0.0000  2 O 1.90
Sn1 0.5000 0.5000 0.5000  8 I 3.51, 2 Sn 3.80
I1 0.0000 0.5000 0.0000  2 Mn 2.95
I2 0.5000 0.0000 0.0000  2 Mn 2.95
O1 0.0000 0.0000 0.5000  2 Mn 1.90